[1]
{"formula": "Zn2GaF", "functional": "PBE-GGA", "state": "relaxed", "spacegroup": "No. 122", "formation_energy_uncorrected_mev_per_atom": -554, "lattice": [[7.036, 0.000, 0.000], [0.000, 7.036, 0.000], [3.518, 3.518, 2.603]], "species": ["F", "Zn", "Ga", "Zn", "F", "Ga", "Zn", "Zn"], "frac_coords": [[0.500, 0.500, 0.000], [0.375, 0.408, 0.750], [0.000, 0.000, 0.000], [0.158, 0.625, 0.250], [0.250, 0.750, 0.500], [0.750, 0.250, 0.500], [0.875, 0.842, 0.750], [0.592, 0.125, 0.250]]}

=====

[2]
{"formula": "BaMg4Pb4", "functional": "PBE-GGA", "state": "relaxed", "spacegroup": "No. 137", "final_energy_ev_per_atom": -2.7277, "lattice": [[-3.067, 1.804, 6.362], [6.310, -1.300, 3.411], [2.790, 9.789, -1.431]], "species": ["Pb", "Mg", "Ba", "Ba", "Mg", "Mg", "Mg", "Pb", "Pb", "Pb", "Pb", "Mg", "Pb", "Mg", "Mg", "Pb", "Mg", "Pb"], "frac_coords": [[0.774, 0.500, 0.206], [0.500, 0.776, 0.087], [0.500, 0.500, 0.500], [0.000, 0.000, 0.000], [0.724, 0.000, 0.587], [0.000, 0.276, 0.413], [0.276, 0.000, 0.587], [0.000, 0.274, 0.706], [0.500, 0.774, 0.794], [0.000, 0.726, 0.706], [0.726, 0.000, 0.294], [0.000, 0.724, 0.413], [0.500, 0.226, 0.794], [0.224, 0.500, 0.913], [0.776, 0.500, 0.913], [0.274, 0.000, 0.294], [0.500, 0.224, 0.087], [0.226, 0.500, 0.206]]}

=====

[3]
{"formula": "La2Nd3Sm6Y", "functional": "PBE-GGA", "state": "relaxed", "spacegroup": "No. 12", "final_energy_ev_per_atom": -4.8960, "lattice": [[6.339, 0.000, 0.004], [-3.168, 5.490, 0.004], [-1.069, -1.851, 11.940]], "species": ["Nd", "Nd", "La", "La", "Sm", "Nd", "Sm", "Sm", "Sm", "Sm", "Y", "Sm"], "frac_coords": [[0.167, 0.833, 0.500], [0.500, 0.500, 0.500], [0.667, 0.333, 0.000], [0.333, 0.667, 0.000], [0.249, 0.249, 0.749], [0.833, 0.167, 0.500], [0.584, 0.917, 0.749], [0.751, 0.751, 0.251], [0.416, 0.083, 0.251], [0.917, 0.584, 0.749], [0.000, 0.000, 0.000], [0.083, 0.416, 0.251]]}

=====

[4]
{"formula": "Ga2GeIBr", "functional": "PBE-GGA", "state": "relaxed", "spacegroup": "No. 123", "formation_energy_uncorrected_mev_per_atom": 747, "lattice": [[-5.298, -2.936, 0.739], [2.749, -5.026, -0.262], [0.782, 0.112, 6.050]], "species": ["Br", "I", "Ge", "Ga", "Ga"], "frac_coords": [[0.000, 0.500, 0.000], [0.000, 0.000, 0.000], [0.500, 0.500, 0.500], [0.000, 0.000, 0.500], [0.500, 0.000, 0.000]]}

=====

[5]
{"formula": "Ac5MgGa2", "functional": "PBE-GGA", "state": "relaxed", "spacegroup": "No. 140", "final_energy_ev_per_atom": -3.7690, "lattice": [[7.494, 0.000, -3.538], [-1.670, 7.306, -3.538], [0.248, 0.311, 10.232]], "species": ["Ga", "Ac", "Ga", "Ac", "Ga", "Ac", "Mg", "Ac", "Ac", "Mg", "Ac", "Ac", "Ga", "Ac", "Ac", "Ac"], "frac_coords": [[0.887, 0.613, 0.000], [0.315, 0.815, 0.285], [0.387, 0.887, 0.000], [0.030, 0.530, 0.715], [0.113, 0.387, 0.000], [0.530, 0.685, 0.715], [0.750, 0.750, 0.500], [0.470, 0.315, 0.285], [0.500, 0.500, 0.000], [0.250, 0.250, 0.500], [0.970, 0.470, 0.285], [0.000, 0.000, 0.000], [0.613, 0.113, 0.000], [0.185, 0.030, 0.715], [0.815, 0.970, 0.285], [0.685, 0.185, 0.715]]}

=====

[6]
{"formula": "LiFeNi6", "functional": "PBE-GGA", "state": "relaxed", "spacegroup": "No. 65", "final_energy_ev_per_atom": -5.6752, "lattice": [[7.044, 0.000, 0.000], [-3.522, 4.990, 0.000], [0.000, 0.000, 9.987]], "species": ["Li", "Ni", "Ni", "Li", "Ni", "Ni", "Fe", "Ni", "Li", "Ni", "Ni", "Ni", "Ni", "Ni", "Ni", "Fe", "Ni", "Ni", "Ni", "Ni", "Ni", "Li", "Fe", "Ni", "Ni", "Ni", "Ni", "Ni", "Ni", "Fe", "Ni", "Ni"], "frac_coords": [[0.751, 0.503, 0.000], [0.751, 0.503, 0.749], [0.123, 0.749, 0.624], [0.500, 0.000, 0.249], [0.500, 0.000, 0.500], [0.626, 0.749, 0.624], [0.000, 0.000, 0.754], [0.249, 0.497, 0.251], [0.500, 0.000, 0.751], [0.125, 0.750, 0.125], [0.751, 0.503, 0.251], [0.626, 0.749, 0.376], [0.875, 0.250, 0.875], [0.374, 0.251, 0.376], [0.000, 0.000, 0.000], [0.251, 0.502, 0.500], [0.374, 0.251, 0.624], [0.375, 0.250, 0.875], [0.500, 0.000, 0.000], [0.877, 0.251, 0.624], [0.625, 0.750, 0.875], [0.249, 0.497, 0.000], [0.749, 0.498, 0.500], [0.000, 0.000, 0.500], [0.125, 0.750, 0.875], [0.123, 0.749, 0.376], [0.877, 0.251, 0.376], [0.375, 0.250, 0.125], [0.875, 0.250, 0.125], [0.000, 0.000, 0.246], [0.625, 0.750, 0.125], [0.249, 0.497, 0.749]]}

=====

[7]
{"formula": "PmNd8Tm2", "functional": "PBE-GGA", "state": "relaxed", "spacegroup": "No. 71", "final_energy_ev_per_atom": -4.6046, "lattice": [[-4.473, -1.866, 3.008], [2.053, -7.840, -1.810], [5.797, 4.526, 6.019]], "species": ["Nd", "Nd", "Pm", "Nd", "Nd", "Nd", "Nd", "Nd", "Tm", "Tm", "Nd"], "frac_coords": [[0.638, 0.433, 0.275], [0.000, 0.294, 0.000], [0.500, 0.000, 0.000], [0.362, 0.158, 0.725], [0.362, 0.567, 0.725], [0.638, 0.842, 0.275], [0.164, 0.164, 0.329], [0.000, 0.706, 0.000], [0.800, 0.300, 0.600], [0.200, 0.700, 0.400], [0.836, 0.836, 0.671]]}

=====

[8]
{"formula": "Y2AlAs", "functional": "PBE-GGA", "state": "relaxed", "spacegroup": "No. 216", "final_energy_ev_per_atom": -5.3745, "lattice": [[5.086, 0.000, 0.000], [2.543, 4.405, 0.000], [2.543, 1.468, 4.153]], "species": ["As", "Al", "Y", "Y"], "frac_coords": [[0.250, 0.250, 0.250], [0.500, 0.500, 0.500], [0.750, 0.750, 0.750], [0.000, 0.000, 0.000]]}

=====

[9]
{"formula": "KAcH6Pd4", "functional": "PBE-GGA", "state": "relaxed", "spacegroup": "No. 191", "final_energy_ev_per_atom": -4.0936, "lattice": [[5.085, 0.000, 0.000], [-2.543, 4.404, 0.000], [0.000, 0.000, 7.980]], "species": ["H", "H", "Ac", "Pd", "Pd", "H", "Pd", "H", "H", "Pd", "H", "K"], "frac_coords": [[0.500, 0.500, 0.295], [0.000, 0.500, 0.705], [0.000, 0.000, 0.000], [0.333, 0.667, 0.823], [0.667, 0.333, 0.823], [0.500, 0.000, 0.295], [0.667, 0.333, 0.177], [0.500, 0.000, 0.705], [0.000, 0.500, 0.295], [0.333, 0.667, 0.177], [0.500, 0.500, 0.705], [0.000, 0.000, 0.500]]}

=====

[10]
{"formula": "LiMg2Hg", "functional": "PBE-GGA", "state": "relaxed", "spacegroup": "No. 12", "final_energy_ev_per_atom": -1.4863, "lattice": [[5.769, 0.000, -0.003], [-2.591, 5.154, -0.003], [0.649, 1.052, 2.813]], "species": ["Mg", "Hg", "Li", "Mg"], "frac_coords": [[0.500, 0.500, 0.000], [0.500, 0.000, 0.500], [0.000, 0.500, 0.500], [0.000, 0.000, 0.000]]}

=====

[11]
{"formula": "Ir2CSe2", "functional": "PBE-GGA", "state": "relaxed", "spacegroup": "No. 127", "formation_energy_uncorrected_mev_per_atom": 1620, "lattice": [[7.351, 0.000, 0.000], [0.000, 7.351, 0.000], [0.000, 0.000, 2.989]], "species": ["Ir", "C", "Se", "Se", "Ir", "Se", "Ir", "C", "Ir", "Se"], "frac_coords": [[0.368, 0.132, 0.500], [0.000, 0.000, 0.000], [0.331, 0.831, 0.000], [0.669, 0.169, 0.000], [0.632, 0.868, 0.500], [0.831, 0.669, 0.000], [0.132, 0.632, 0.500], [0.500, 0.500, 0.000], [0.868, 0.368, 0.500], [0.169, 0.331, 0.000]]}

=====

[12]
{"formula": "Pm4Tm3ThSe8", "functional": "PBE-GGA", "state": "relaxed", "spacegroup": "No. 166", "formation_energy_uncorrected_mev_per_atom": -1724, "lattice": [[-6.502, -1.612, -4.795], [-1.072, -7.254, 3.892], [0.269, 6.981, 4.366]], "species": ["Pm", "Se", "Se", "Se", "Pm", "Se", "Tm", "Tm", "Pm", "Pm", "Th", "Tm", "Se", "Se", "Se", "Se"], "frac_coords": [[0.000, 0.000, 0.500], [0.251, 0.739, 0.988], [0.263, 0.261, 0.012], [0.737, 0.739, 0.988], [0.000, 0.000, 0.000], [0.251, 0.739, 0.501], [0.500, 0.500, 0.500], [0.000, 0.500, 0.500], [0.500, 0.000, 0.500], [0.500, 0.000, 0.000], [0.000, 0.500, 0.000], [0.500, 0.500, 0.000], [0.744, 0.732, 0.488], [0.749, 0.261, 0.012], [0.256, 0.268, 0.512], [0.749, 0.261, 0.499]]}

=====

Repeat the third record exactly.
{"formula": "La2Nd3Sm6Y", "functional": "PBE-GGA", "state": "relaxed", "spacegroup": "No. 12", "final_energy_ev_per_atom": -4.8960, "lattice": [[6.339, 0.000, 0.004], [-3.168, 5.490, 0.004], [-1.069, -1.851, 11.940]], "species": ["Nd", "Nd", "La", "La", "Sm", "Nd", "Sm", "Sm", "Sm", "Sm", "Y", "Sm"], "frac_coords": [[0.167, 0.833, 0.500], [0.500, 0.500, 0.500], [0.667, 0.333, 0.000], [0.333, 0.667, 0.000], [0.249, 0.249, 0.749], [0.833, 0.167, 0.500], [0.584, 0.917, 0.749], [0.751, 0.751, 0.251], [0.416, 0.083, 0.251], [0.917, 0.584, 0.749], [0.000, 0.000, 0.000], [0.083, 0.416, 0.251]]}